[1]
# CaAlAs2, optimized geometry, DFT PBE
# Formation energy   -0.37 eV/atom
data_CaAlAs2
_chemical_formula_sum 'Ca1 Al1 As2'
_symmetry_space_group_name_H-M 'P 1'
_symmetry_Int_Tables_number 1
_cell_length_a 3.959
_cell_length_b 3.959
_cell_length_c 6.153
_cell_angle_alpha 90.00
_cell_angle_beta 90.00
_cell_angle_gamma 90.00
loop_
_symmetry_equiv_pos_as_xyz
'x,y,z'
loop_
_atom_site_label
_atom_site_type_symbol
_atom_site_fract_x
_atom_site_fract_y
_atom_site_fract_z
As1 As 0.000 0.000 0.860
As2 As 0.500 0.500 0.334
Ca1 Ca 0.000 0.000 0.372
Al1 Al 0.500 0.500 0.935

[2]
# NaLiAg2, optimized geometry, DFT PBE
# Formation energy   -0.04 eV/atom
data_NaLiAg2
_chemical_formula_sum 'Na1 Li1 Ag2'
_symmetry_space_group_name_H-M 'P 1'
_symmetry_Int_Tables_number 1
_cell_length_a 4.784
_cell_length_b 4.784
_cell_length_c 4.784
_cell_angle_alpha 60.00
_cell_angle_beta 60.00
_cell_angle_gamma 60.00
loop_
_symmetry_equiv_pos_as_xyz
'x,y,z'
loop_
_atom_site_label
_atom_site_type_symbol
_atom_site_fract_x
_atom_site_fract_y
_atom_site_fract_z
Na1 Na 0.500 0.500 0.500
Ag1 Ag 0.250 0.250 0.250
Ag2 Ag 0.750 0.750 0.750
Li1 Li 0.000 0.000 0.000

[3]
# TiFeTe2I, optimized geometry, DFT PBE
# Energy relative to the elements, uncorrected   0.49 eV/atom
data_TiFeTe2I
_chemical_formula_sum 'Ti1 Fe1 Te2 I1'
_symmetry_space_group_name_H-M 'P 1'
_symmetry_Int_Tables_number 1
_cell_length_a 5.312
_cell_length_b 5.312
_cell_length_c 5.621
_cell_angle_alpha 90.00
_cell_angle_beta 90.00
_cell_angle_gamma 90.00
loop_
_symmetry_equiv_pos_as_xyz
'x,y,z'
loop_
_atom_site_label
_atom_site_type_symbol
_atom_site_fract_x
_atom_site_fract_y
_atom_site_fract_z
I1 I 0.000 0.000 0.500
Te1 Te 0.000 0.500 0.000
Te2 Te 0.500 0.000 0.000
Fe1 Fe 0.500 0.500 0.500
Ti1 Ti 0.000 0.000 0.000

[4]
# Dy2InTe4Au, optimized geometry, DFT PBE
# Energy relative to the elements, uncorrected   -0.91 eV/atom
data_Dy2InTe4Au
_chemical_formula_sum 'Dy4 In2 Te8 Au2'
_symmetry_space_group_name_H-M 'P 1'
_symmetry_Int_Tables_number 1
_cell_length_a 4.363
_cell_length_b 7.777
_cell_length_c 15.483
_cell_angle_alpha 90.00
_cell_angle_beta 90.00
_cell_angle_gamma 106.29
loop_
_symmetry_equiv_pos_as_xyz
'x,y,z'
loop_
_atom_site_label
_atom_site_type_symbol
_atom_site_fract_x
_atom_site_fract_y
_atom_site_fract_z
Dy1 Dy 0.370 0.741 0.575
Dy2 Dy 0.630 0.259 0.075
Dy3 Dy 0.630 0.259 0.425
Dy4 Dy 0.370 0.741 0.925
In1 In 0.134 0.269 0.750
In2 In 0.866 0.731 0.250
Te1 Te 0.271 0.541 0.109
Te2 Te 0.729 0.459 0.609
Te3 Te 0.729 0.459 0.891
Te4 Te 0.271 0.541 0.391
Te5 Te 0.000 0.000 0.500
Te6 Te 0.000 0.000 0.000
Te7 Te 0.464 0.929 0.750
Te8 Te 0.536 0.071 0.250
Au1 Au 0.850 0.699 0.750
Au2 Au 0.150 0.301 0.250

[5]
# Nd2Sm3Mg3, optimized geometry, DFT PBE
# Formation energy   -0.06 eV/atom
data_Nd2Sm3Mg3
_chemical_formula_sum 'Nd2 Sm3 Mg3'
_symmetry_space_group_name_H-M 'P 1'
_symmetry_Int_Tables_number 1
_cell_length_a 3.878
_cell_length_b 5.530
_cell_length_c 11.858
_cell_angle_alpha 103.49
_cell_angle_beta 99.41
_cell_angle_gamma 90.00
loop_
_symmetry_equiv_pos_as_xyz
'x,y,z'
loop_
_atom_site_label
_atom_site_type_symbol
_atom_site_fract_x
_atom_site_fract_y
_atom_site_fract_z
Nd1 Nd 0.735 0.235 0.470
Nd2 Nd 0.265 0.765 0.530
Sm1 Sm 0.622 0.622 0.244
Sm2 Sm 0.378 0.378 0.756
Sm3 Sm 0.500 0.000 0.000
Mg1 Mg 0.116 0.116 0.232
Mg2 Mg 0.000 0.500 0.000
Mg3 Mg 0.884 0.884 0.768

[6]
# InGaNi6, optimized geometry, DFT PBE
# Formation energy   -0.16 eV/atom
data_InGaNi6
_chemical_formula_sum 'In1 Ga1 Ni6'
_symmetry_space_group_name_H-M 'P 1'
_symmetry_Int_Tables_number 1
_cell_length_a 3.676
_cell_length_b 3.676
_cell_length_c 7.279
_cell_angle_alpha 90.00
_cell_angle_beta 90.00
_cell_angle_gamma 90.00
loop_
_symmetry_equiv_pos_as_xyz
'x,y,z'
loop_
_atom_site_label
_atom_site_type_symbol
_atom_site_fract_x
_atom_site_fract_y
_atom_site_fract_z
In1 In 0.000 0.000 0.000
Ga1 Ga 0.000 0.000 0.500
Ni1 Ni 0.500 0.500 0.000
Ni2 Ni 0.500 0.500 0.500
Ni3 Ni 0.500 0.000 0.265
Ni4 Ni 0.500 0.000 0.735
Ni5 Ni 0.000 0.500 0.265
Ni6 Ni 0.000 0.500 0.735

[7]
# CaCuSn2, optimized geometry, DFT PBE
# Formation energy   -0.30 eV/atom
data_CaCuSn2
_chemical_formula_sum 'Ca1 Cu1 Sn2'
_symmetry_space_group_name_H-M 'P 1'
_symmetry_Int_Tables_number 1
_cell_length_a 4.382
_cell_length_b 4.382
_cell_length_c 6.466
_cell_angle_alpha 70.19
_cell_angle_beta 70.19
_cell_angle_gamma 60.00
loop_
_symmetry_equiv_pos_as_xyz
'x,y,z'
loop_
_atom_site_label
_atom_site_type_symbol
_atom_site_fract_x
_atom_site_fract_y
_atom_site_fract_z
Ca1 Ca 0.500 0.500 0.500
Sn1 Sn 0.279 0.279 0.164
Sn2 Sn 0.721 0.721 0.836
Cu1 Cu 0.000 0.000 0.000

[8]
# HgPd2I, optimized geometry, DFT PBE
# Energy relative to the elements, uncorrected   0.18 eV/atom
data_HgPd2I
_chemical_formula_sum 'Hg2 Pd4 I2'
_symmetry_space_group_name_H-M 'P 1'
_symmetry_Int_Tables_number 1
_cell_length_a 4.872
_cell_length_b 4.872
_cell_length_c 9.085
_cell_angle_alpha 74.45
_cell_angle_beta 74.45
_cell_angle_gamma 90.00
loop_
_symmetry_equiv_pos_as_xyz
'x,y,z'
loop_
_atom_site_label
_atom_site_type_symbol
_atom_site_fract_x
_atom_site_fract_y
_atom_site_fract_z
I1 I 0.500 0.500 0.000
I2 I 0.250 0.750 0.500
Hg1 Hg 0.000 0.000 0.000
Hg2 Hg 0.750 0.250 0.500
Pd1 Pd 0.584 0.125 0.250
Pd2 Pd 0.166 0.625 0.250
Pd3 Pd 0.375 0.416 0.750
Pd4 Pd 0.875 0.834 0.750

Number 1: total magnetization 0.00 μB/atom. Number 2: total magnetization 0.00 μB/atom. Number 3: total magnetization 0.88 μB/atom. Number 4: total magnetization 0.00 μB/atom. Number 5: total magnetization 0.00 μB/atom. Number 6: total magnetization 0.19 μB/atom. Number 7: total magnetization 0.00 μB/atom. Number 8: total magnetization 0.00 μB/atom.